(1)
The following is a DFT calculation (PBE) of a relaxed structure of TbY2Cr2C4. Values from VASP.

The structure in Quantum ESPRESSO input format:
```
&SYSTEM
  ibrav = 0, nat = 9, ntyp = 4
/
ATOMIC_SPECIES
Tb 158.93 Tb.upf
Y 88.91 Y.upf
Cr 52.00 Cr.upf
C 12.01 C.upf
ATOMIC_POSITIONS angstrom
Tb 0.000 0.000 0.000
Y -1.482 0.418 4.693
Y -1.917 2.008 1.422
Cr 1.445 0.072 3.931
Cr -4.844 2.355 2.184
C -3.536 1.723 3.546
C 0.137 0.703 2.569
C 0.962 0.955 5.479
C -4.361 1.471 0.636
CELL_PARAMETERS angstrom
-2.098 -2.583 0.819
3.386 1.341 5.736
-4.687 3.668 -0.440
```

Output
* formation energy from the elements: -10.3 kJ/mol of atoms
* E: -8.295 eV per atom

(2)
The following is a DFT calculation (PBE) of a relaxed structure of RbNbCdO4. Values from VASP.

The structure in Quantum ESPRESSO input format:
```
&SYSTEM
  ibrav = 0, nat = 14, ntyp = 4
/
ATOMIC_SPECIES
Rb 85.47 Rb.upf
Nb 92.91 Nb.upf
Cd 112.41 Cd.upf
O 16.00 O.upf
ATOMIC_POSITIONS angstrom
Rb 2.546 4.759 6.963
Rb 1.490 1.586 0.349
Nb 1.081 4.759 2.732
Nb 2.955 1.586 4.581
Cd 4.242 4.759 3.518
Cd -0.207 1.586 3.795
O 4.143 3.044 4.984
O -0.108 6.216 2.328
O -0.108 3.301 2.328
O 4.143 0.129 4.984
O 2.748 4.759 1.825
O 1.288 1.586 5.488
O 1.433 4.759 4.507
O 2.602 1.586 2.806
CELL_PARAMETERS angstrom
6.232 0.000 0.221
0.000 6.345 0.000
-2.196 0.000 7.091
```

Output
* ΔE_f (raw): -1.914 eV per atom
* E: -6.455 eV per atom

(3)
The following is a DFT calculation (PBE) of a relaxed structure of Nd3PuHg4. Values from VASP.

The structure in Quantum ESPRESSO input format:
```
&SYSTEM
  ibrav = 0, nat = 8, ntyp = 3
/
ATOMIC_SPECIES
Nd 144.24 Nd.upf
Hg 200.59 Hg.upf
Pu 244.00 Pu.upf
ATOMIC_POSITIONS angstrom
Nd 1.910 1.910 3.786
Nd 1.910 1.910 7.634
Nd 1.910 1.910 11.482
Hg 0.000 0.000 13.380
Hg 0.000 0.000 1.888
Hg 0.000 0.000 5.718
Hg 0.000 0.000 9.550
Pu 1.910 1.910 0.000
CELL_PARAMETERS angstrom
3.820 0.000 0.000
0.000 3.820 0.000
0.000 0.000 15.268
```

Output
* formation energy from the elements: -36.5 kJ/mol of atoms
* E: -4.109 eV per atom

(4)
The following is a DFT calculation (PBE) of a relaxed structure of BC3I. Values from VASP.

The structure in Quantum ESPRESSO input format:
```
&SYSTEM
  ibrav = 0, nat = 5, ntyp = 3
/
ATOMIC_SPECIES
I 126.90 I.upf
C 12.01 C.upf
B 10.81 B.upf
ATOMIC_POSITIONS angstrom
I 0.402 -0.242 3.160
C 1.624 -0.178 0.857
C -0.515 1.266 1.239
C -0.708 -1.330 1.065
B 0.000 0.000 0.000
CELL_PARAMETERS angstrom
-1.415 -2.660 2.129
3.248 -0.357 1.713
-1.029 2.532 2.478
```

Output
* ΔE_f (raw): 2.810 eV per atom
* energy relative to the lowest polymorph listed for this composition: 0.000 eV per atom
* E: -4.369 eV per atom

(5)
The following is a DFT calculation (PBE) of a relaxed structure of Li5InPd6. Values from VASP.

The structure in Quantum ESPRESSO input format:
```
&SYSTEM
  ibrav = 0, nat = 12, ntyp = 3
/
ATOMIC_SPECIES
In 114.82 In.upf
Pd 106.42 Pd.upf
Li 6.94 Li.upf
ATOMIC_POSITIONS angstrom
In 0.000 0.000 0.000
Pd 0.433 2.286 1.414
Pd 0.111 5.017 0.373
Pd 1.895 1.508 -1.212
Pd 1.583 4.153 -2.220
Pd 3.402 0.221 3.681
Pd 3.079 2.952 2.640
Li 0.862 4.453 2.813
Li 2.342 3.650 0.247
Li -0.334 2.829 -1.078
Li 1.170 1.589 3.807
Li 2.651 0.786 1.241
CELL_PARAMETERS angstrom
4.146 0.003 -1.276
-0.668 5.658 -2.156
0.034 -0.423 7.485
```

Output
* energy relative to the lowest polymorph listed for this composition: 0.000 eV per atom
* formation energy from the elements: -47.3 kJ/mol of atoms
* E: -4.112 eV per atom

(6)
The following is a DFT calculation (PBE) of a relaxed structure of LiTiTlIn. Values from VASP.

The structure in Quantum ESPRESSO input format:
```
&SYSTEM
  ibrav = 0, nat = 4, ntyp = 4
/
ATOMIC_SPECIES
Tl 204.38 Tl.upf
Ti 47.87 Ti.upf
Li 6.94 Li.upf
In 114.82 In.upf
ATOMIC_POSITIONS angstrom
Tl 4.853 2.802 1.981
Ti 2.427 1.401 0.991
Li 7.280 4.203 2.972
In 0.000 0.000 0.000
CELL_PARAMETERS angstrom
4.853 0.000 0.000
2.427 4.203 0.000
2.427 1.401 3.963
```

Output
* formation energy from the elements: 0.4 kJ/mol of atoms
* E: -3.725 eV per atom

Repeat the fourth record exactly.
The following is a DFT calculation (PBE) of a relaxed structure of BC3I. Values from VASP.

The structure in Quantum ESPRESSO input format:
```
&SYSTEM
  ibrav = 0, nat = 5, ntyp = 3
/
ATOMIC_SPECIES
I 126.90 I.upf
C 12.01 C.upf
B 10.81 B.upf
ATOMIC_POSITIONS angstrom
I 0.402 -0.242 3.160
C 1.624 -0.178 0.857
C -0.515 1.266 1.239
C -0.708 -1.330 1.065
B 0.000 0.000 0.000
CELL_PARAMETERS angstrom
-1.415 -2.660 2.129
3.248 -0.357 1.713
-1.029 2.532 2.478
```

Output
* ΔE_f (raw): 2.810 eV per atom
* energy relative to the lowest polymorph listed for this composition: 0.000 eV per atom
* E: -4.369 eV per atom

> Look up the E of the third one.

-4.109 eV per atom

> Which formula does entry 2 have?

RbNbCdO4